{"formula": "KTa2CuO", "functional": "PBE", "state": "optimized geometry", "lattice": [[4.754, 0.000, 0.000], [0.000, 4.415, 0.000], [0.000, 0.000, 4.754]], "species": ["Ta", "Cu", "Ta", "O", "K"], "fractional_positions": [[0.500, 0.000, 0.000], [0.000, 0.500, 0.000], [0.000, 0.000, 0.500], [0.500, 0.500, 0.500], [0.000, 0.000, 0.000]], "raw_formation_energy_ev_per_atom": 3.279, "dft_energy_ev_per_atom": -3.49, "magmom_total_mub_per_fu": 0.00}

{"formula": "K2TaCu2O6", "functional": "PBE", "state": "optimized geometry", "lattice": [[5.811, 0.000, 0.000], [-2.906, 5.032, 0.000], [0.000, 0.000, 6.619]], "species": ["O", "K", "O", "O", "Cu", "O", "Ta", "O", "Cu", "K", "O"], "fractional_positions": [[0.900, 0.688, 0.181], [0.333, 0.667, 0.318], [0.312, 0.212, 0.181], [0.212, 0.900, 0.819], [0.667, 0.333, 0.172], [0.788, 0.100, 0.181], [0.000, 0.000, 0.000], [0.100, 0.312, 0.819], [0.333, 0.667, 0.828], [0.667, 0.333, 0.682], [0.688, 0.788, 0.819]], "raw_formation_energy_ev_per_atom": -1.467, "dft_energy_ev_per_atom": -6.19, "magmom_total_mub_per_fu": 3.09}

{"formula": "K2TbCu2O4", "functional": "PBE", "state": "optimized geometry", "lattice": [[-2.700, 2.023, -0.582], [-2.552, -4.525, -3.886], [-0.857, -2.187, 6.439]], "species": ["O", "O", "Cu", "O", "Tb", "O", "K", "K", "Cu"], "fractional_positions": [[0.188, 0.178, 0.376], [0.812, 0.822, 0.624], [0.686, 0.033, 0.372], [0.465, 0.205, 0.931], [0.000, 0.000, 0.000], [0.535, 0.795, 0.069], [0.873, 0.447, 0.747], [0.127, 0.553, 0.253], [0.314, 0.967, 0.628]], "raw_formation_energy_ev_per_atom": -1.525, "dft_energy_ev_per_atom": -5.40, "magmom_total_mub_per_fu": 0.39}

{"formula": "KTbCuO2", "functional": "PBE", "state": "optimized geometry", "lattice": [[-1.076, -5.452, 1.187], [5.981, -0.363, 3.757], [-1.310, 1.654, 6.408]], "species": ["O", "O", "Cu", "O", "Cu", "K", "Tb", "K", "O", "Tb"], "fractional_positions": [[0.291, 0.124, 0.949], [0.291, 0.876, 0.551], [0.000, 0.000, 0.000], [0.709, 0.876, 0.051], [0.000, 0.000, 0.500], [0.186, 0.500, 0.750], [0.488, 0.000, 0.250], [0.814, 0.500, 0.250], [0.709, 0.124, 0.449], [0.512, 0.000, 0.750]], "raw_formation_energy_ev_per_atom": -1.704, "dft_energy_ev_per_atom": -5.65, "magmom_total_mub_per_fu": 0.00}

{"formula": "KTbCu2O4", "functional": "PBE", "state": "optimized geometry", "lattice": [[-2.179, 0.673, 3.148], [-1.274, -3.671, -0.097], [5.446, -2.002, 4.199]], "species": ["Cu", "O", "O", "Tb", "K", "O", "O", "Cu"], "fractional_positions": [[0.500, 0.500, 0.221], [0.000, 0.500, 0.201], [0.500, 0.000, 0.201], [0.000, 0.000, 0.000], [0.000, 0.000, 0.500], [0.000, 0.500, 0.799], [0.500, 0.000, 0.799], [0.500, 0.500, 0.779]], "raw_formation_energy_ev_per_atom": -1.674, "dft_energy_ev_per_atom": -5.89, "magmom_total_mub_per_fu": 0.00}

{"formula": "KTb2CuO4", "functional": "PBE", "state": "optimized geometry", "lattice": [[3.478, 0.000, 0.000], [-1.739, 5.854, 0.000], [0.000, 0.000, 11.850]], "species": ["Tb", "Tb", "K", "O", "Tb", "Cu", "K", "O", "O", "O", "O", "Cu", "O", "Tb", "O", "O"], "fractional_positions": [[0.633, 0.265, 0.061], [0.367, 0.735, 0.561], [0.901, 0.802, 0.250], [0.577, 0.155, 0.250], [0.633, 0.265, 0.439], [0.176, 0.352, 0.250], [0.099, 0.198, 0.750], [0.745, 0.490, 0.902], [0.423, 0.845, 0.750], [0.000, 0.000, 0.000], [0.745, 0.490, 0.598], [0.824, 0.648, 0.750], [0.255, 0.510, 0.098], [0.367, 0.735, 0.939], [0.255, 0.510, 0.402], [0.000, 0.000, 0.500]], "raw_formation_energy_ev_per_atom": -2.470, "dft_energy_ev_per_atom": -6.76, "magmom_total_mub_per_fu": 0.00}